[1]
## CsAgAuS (GGA-PBE)

Data for a relaxed structure of CsAgAuS.

Properties
Theoretical density ... 5.87 g cm⁻³
Crystal system ... orthorhombic
V ... 132.82 Å³/cell
SG ... Amm2
ΔE_f (raw) ... -0.03 eV per atom
Final energy ... -2.811 eV per atom

Lattice parameters (Å, degrees): 4.425 5.585 6.057 117.45 90.00 90.00
Element x y z (fractional)
1 Cs 0.500 0.267 0.535
2 Ag 0.500 0.584 0.167
3 Au 0.000 0.904 0.808
4 S 0.000 0.675 0.350

[2]
## Y2Tc (GGA-PBE)

Data for a relaxed structure of Y2Tc.

Properties
Theoretical density ... 6.04 g cm⁻³
Crystal system ... tetragonal
V ... 75.77 Å³/cell
SG ... I4/mmm
Energy of formation ... -0.01 eV per atom
Final energy ... -7.777 eV per atom

Lattice parameters (Å, degrees): 3.485 3.485 6.710 105.05 105.05 90.00
Element x y z (fractional)
1 Tc 0.000 0.000 0.000
2 Y 0.370 0.370 0.739
3 Y 0.630 0.630 0.261

[3]
## Pm4NdTe5 (GGA-PBE)

Data for a relaxed structure of Pm4NdTe5.

Properties
Theoretical density ... 7.15 g cm⁻³
Crystal system ... orthorhombic
V ... 316.34 Å³/cell
SG ... Immm
ΔE_f (raw) ... -1.41 eV per atom
Final energy ... -5.356 eV per atom

Lattice parameters (Å, degrees): 4.474 6.311 11.853 105.44 100.88 90.00
Element x y z (fractional)
1 Pm 0.400 0.400 0.800
2 Pm 0.799 0.799 0.599
3 Pm 0.201 0.201 0.401
4 Pm 0.600 0.600 0.200
5 Nd 0.000 0.000 0.000
6 Te 0.601 0.101 0.202
7 Te 0.800 0.300 0.601
8 Te 0.200 0.700 0.399
9 Te 0.000 0.500 0.000
10 Te 0.399 0.899 0.798

[4]
## SrNbBRh2 (GGA-PBE)

Data for a relaxed structure of SrNbBRh2.

Properties
Theoretical density ... 6.16 g cm⁻³
Crystal system ... tetragonal
V ... 107.01 Å³/cell
SG ... P4/mmm
Energy of formation ... 0.58 eV per atom
Final energy ... -6.047 eV per atom

Lattice parameters (Å, degrees): 4.846 4.557 4.846 90.00 90.00 90.00
Element x y z (fractional)
1 Sr 0.500 0.500 0.500
2 Nb 0.000 0.000 0.000
3 B 0.000 0.500 0.000
4 Rh 0.000 0.000 0.500
5 Rh 0.500 0.000 0.000

[5]
## SiBiSb (GGA-PBE)

Data for a relaxed structure of SiBiSb.

Properties
Theoretical density ... 5.94 g cm⁻³
Crystal system ... triclinic
V ... 200.74 Å³/cell
SG ... P1
ΔE_f (raw) ... 0.14 eV per atom
Final energy ... -4.331 eV per atom

Lattice parameters (Å, degrees): 4.105 4.110 13.913 91.32 82.74 60.07
Element x y z (fractional)
1 Bi 0.520 0.431 0.143
2 Bi 0.102 0.150 0.279
3 Sb 0.570 0.858 0.546
4 Sb 0.355 0.993 0.892
5 Si 0.849 0.226 0.633
6 Si 0.742 0.293 0.805

[6]
## TiBe2Pd2 (GGA-PBE)

Data for a relaxed structure of TiBe2Pd2.

Properties
Theoretical density ... 7.37 g cm⁻³
Crystal system ... tetragonal
V ... 125.64 Å³/cell
SG ... P4/mbm
Energy of formation ... -0.47 eV per atom
Final energy ... -5.618 eV per atom

Lattice parameters (Å, degrees): 6.798 6.798 2.719 90.00 90.00 90.00
Element x y z (fractional)
1 Be 0.382 0.882 0.000
2 Be 0.882 0.618 0.000
3 Be 0.618 0.118 0.000
4 Be 0.118 0.382 0.000
5 Pd 0.176 0.676 0.500
6 Pd 0.676 0.824 0.500
7 Pd 0.824 0.324 0.500
8 Pd 0.324 0.176 0.500
9 Ti 0.000 0.000 0.000
10 Ti 0.500 0.500 0.000